Model one:
# Zr3VPb

A geometry-optimized Zr3VPb structure (GGA-PBE, the Alexandria database).

The density of states at the Fermi level comes out at 1.456 states/eV/atom.

Lattice parameters (Å, degrees): 4.922 4.922 4.922 90.00 90.00 90.00
Space group Pm-3m (No. 221)
One atom of each set of equivalent atoms:
Zr1 0.000 0.000 0.500 x3
V1 0.000 0.000 0.000 x1
Pb1 0.500 0.500 0.500 x1

=====

Model two:
# Zr3VPb

A geometry-optimized Zr3VPb structure (GGA-PBE, the Alexandria database).

The density of states at the Fermi level comes out at 1.835 states/eV/atom.

Lattice parameters (Å, degrees): 5.359 5.359 5.359 90.00 90.00 90.00
Space group Pm-3m (No. 221)
One atom of each set of equivalent atoms:
Zr1 0.000 0.000 0.500 x3
V1 0.500 0.500 0.500 x1
Pb1 0.000 0.000 0.000 x1

=====

Short version: model two is the least stable of them.

=====

Model one:
# ZrVPb2

A geometry-optimized ZrVPb2 structure (GGA-PBE, the Alexandria database).

The density of states at the Fermi level comes out at 1.247 states/eV/atom.

Lattice parameters (Å, degrees): 7.120 7.120 7.120 90.00 90.00 90.00
Space group Fm-3m (No. 225)
One atom of each set of equivalent atoms:
Zr1 0.000 0.000 0.000 x4
V1 0.000 0.000 0.500 x4
Pb1 0.250 0.250 0.250 x8

=====

Model two:
# ZrVPb2

A geometry-optimized ZrVPb2 structure (GGA-PBE, the Alexandria database).

The density of states at the Fermi level comes out at 1.283 states/eV/atom.

Lattice parameters (Å, degrees): 7.853 7.853 6.214 90.00 90.00 90.00
Space group I-42d (No. 122)
One atom of each set of equivalent atoms:
Zr1 0.000 0.000 0.000 x4
V1 0.000 0.000 0.500 x4
Pb1 0.228 0.250 0.625 x8

=====

Short version: model two is the least stable of them.

=====

Model one:
# PbW2

A geometry-optimized PbW2 structure (GGA-PBE, the Alexandria database).

The density of states at the Fermi level comes out at 0.612 states/eV/atom.

Lattice parameters (Å, degrees): 3.070 15.126 4.757 90.00 90.00 90.00
Space group Cmcm (No. 63)
One atom of each set of equivalent atoms:
Pb1 0.000 0.112 0.250 x4
W1 0.000 0.216 0.750 x4
W2 0.000 0.446 0.250 x4

=====

Model two:
# PbW2

A geometry-optimized PbW2 structure (GGA-PBE, the Alexandria database).

The density of states at the Fermi level comes out at 1.915 states/eV/atom.

Lattice parameters (Å, degrees): 6.365 6.365 6.365 90.00 90.00 90.00
Space group Fm-3m (No. 225)
One atom of each set of equivalent atoms:
Pb1 0.000 0.000 0.000 x4
W1 0.250 0.250 0.250 x8

=====

Model three:
# PbW2

A geometry-optimized PbW2 structure (GGA-PBE, the Alexandria database).

The density of states at the Fermi level comes out at 1.090 states/eV/atom.

Lattice parameters (Å, degrees): 3.702 3.702 4.757 90.00 90.00 90.00
Space group P4/mmm (No. 123)
One atom of each set of equivalent atoms:
Pb1 0.000 0.000 0.000 x1
W1 0.000 0.500 0.500 x2

=====

Model four:
# PbW2

A geometry-optimized PbW2 structure (GGA-PBE, the Alexandria database).

The density of states at the Fermi level comes out at 0.897 states/eV/atom.

Lattice parameters (Å, degrees): 2.882 8.316 4.655 90.00 90.00 90.00
Space group Pnnm (No. 58)
One atom of each set of equivalent atoms:
Pb1 0.000 0.000 0.000 x2
W1 0.129 0.338 0.000 x4

=====

Short version: model two is the least stable of them.

=====

Model one:
# PbW2

A geometry-optimized PbW2 structure (GGA-PBE, the Alexandria database).

The density of states at the Fermi level comes out at 0.774 states/eV/atom.

Lattice parameters (Å, degrees): 8.1734 8.1734 2.8702 90.00 90.00 120.00
Space group P-62m (No. 189)
One atom of each set of equivalent atoms:
Pb1 0.0000 0.0000 0.0000 x1
Pb2 0.3333 0.6667 0.5000 x2
W1 0.0000 0.3163 0.5000 x3
W2 0.0000 0.6499 0.0000 x3

=====

Model two:
# PbW2

A geometry-optimized PbW2 structure (GGA-PBE, the Alexandria database).

The density of states at the Fermi level comes out at 0.594 states/eV/atom.

Lattice parameters (Å, degrees): 5.807 4.291 9.679 90.00 90.00 90.00
Space group Pnma (No. 62)
One atom of each set of equivalent atoms:
Pb1 0.122 0.250 0.113 x4
W1 0.046 0.250 0.690 x4
W2 0.134 0.250 0.426 x4

=====

Model three:
# PbW2

A geometry-optimized PbW2 structure (GGA-PBE, the Alexandria database).

The density of states at the Fermi level comes out at 0.787 states/eV/atom.

Lattice parameters (Å, degrees): 7.795 7.795 7.795 90.00 90.00 90.00
Space group Fd-3m (No. 227, origin choice 2)
One atom of each set of equivalent atoms:
Pb1 0.125 0.125 0.125 x8
W1 0.000 0.000 0.500 x16

=====

Model four:
# PbW2

A geometry-optimized PbW2 structure (GGA-PBE, the Alexandria database).

The density of states at the Fermi level comes out at 0.862 states/eV/atom.

Lattice parameters (Å, degrees): 6.575 6.575 5.551 90.00 90.00 90.00
Space group I4/mcm (No. 140)
One atom of each set of equivalent atoms:
Pb1 0.000 0.000 0.250 x4
W1 0.128 0.372 0.000 x8

=====

Short version: model four is the least stable of them.

=====

Model one:
# PbW2

A geometry-optimized PbW2 structure (GGA-PBE, the Alexandria database).

The density of states at the Fermi level comes out at 1.052 states/eV/atom.

Lattice parameters (Å, degrees): 6.540 6.540 6.540 90.00 90.00 90.00
Space group Pa-3 (No. 205)
One atom of each set of equivalent atoms:
Pb1 0.000 0.000 0.000 x4
W1 0.103 0.603 0.897 x8

=====

Model two:
# PbW2

A geometry-optimized PbW2 structure (GGA-PBE, the Alexandria database).

The density of states at the Fermi level comes out at 0.820 states/eV/atom.

Lattice parameters (Å, degrees): 3.212 3.212 11.497 90.00 90.00 90.00
Space group I4/mmm (No. 139)
One atom of each set of equivalent atoms:
Pb1 0.000 0.000 0.000 x2
W1 0.000 0.000 0.309 x4

=====

Model three:
# PbW2

A geometry-optimized PbW2 structure (GGA-PBE, the Alexandria database).

The density of states at the Fermi level comes out at 0.622 states/eV/atom.

Lattice parameters (Å, degrees): 10.045 3.082 7.928 90.00 91.90 90.00
Space group Cm (No. 8)
One atom of each set of equivalent atoms:
Pb1 0.000 0.000 0.000 x2
Pb2 0.237 0.500 0.764 x2
W1 0.015 0.000 0.574 x2
W2 0.073 0.500 0.332 x2
W3 0.272 0.000 0.138 x2
W4 0.298 0.000 0.442 x2

=====

Model four:
# PbW2

A geometry-optimized PbW2 structure (GGA-PBE, the Alexandria database).

The density of states at the Fermi level comes out at 0.929 states/eV/atom.

Lattice parameters (Å, degrees): 4.8031 4.8031 5.5568 90.00 90.00 120.00
Space group P6_3/mmc (No. 194)
One atom of each set of equivalent atoms:
Pb1 0.3333 0.6667 0.2500 x2
W1 0.0000 0.0000 0.0000 x2
W2 0.3333 0.6667 0.7500 x2

=====

Short version: model one is the least stable of them.

=====

Model one:
# PbW2

A geometry-optimized PbW2 structure (GGA-PBE, the Alexandria database).

The density of states at the Fermi level comes out at 0.710 states/eV/atom.

Lattice parameters (Å, degrees): 10.089 3.204 8.360 90.00 112.02 90.00
Space group C2/m (No. 12)
One atom of each set of equivalent atoms:
Pb1 0.166 0.000 0.122 x4
W1 0.003 0.500 0.316 x4
W2 0.160 0.000 0.549 x4

=====

Model two:
# PbW2

A geometry-optimized PbW2 structure (GGA-PBE, the Alexandria database).

The density of states at the Fermi level comes out at 0.957 states/eV/atom.

Lattice parameters (Å, degrees): 4.6941 4.6941 2.9318 90.00 90.00 120.00
Space group P-3m1 (No. 164)
One atom of each set of equivalent atoms:
Pb1 0.0000 0.0000 0.0000 x1
W1 0.3333 0.6667 0.6498 x2

=====

Model three:
# PbW2

A geometry-optimized PbW2 structure (GGA-PBE, the Alexandria database).

The density of states at the Fermi level comes out at 0.871 states/eV/atom.

Lattice parameters (Å, degrees): 3.168 19.383 4.365 90.00 90.00 90.00
Space group Cmcm (No. 63)
One atom of each set of equivalent atoms:
Pb1 0.000 0.189 0.250 x4
W1 0.000 0.060 0.750 x4
W2 0.000 0.444 0.750 x4

=====

Model four:
# PbW2

A geometry-optimized PbW2 structure (GGA-PBE, the Alexandria database).

The density of states at the Fermi level comes out at 0.564 states/eV/atom.

Lattice parameters (Å, degrees): 4.152 14.691 4.336 90.00 90.00 90.00
Space group Cmcm (No. 63)
One atom of each set of equivalent atoms:
Pb1 0.000 0.084 0.250 x4
W1 0.000 0.252 0.750 x4
W2 0.000 0.355 0.250 x4

=====

Short version: model two is the least stable of them.

=====

Model one:
# PbW5

A geometry-optimized PbW5 structure (GGA-PBE, the Alexandria database).

The density of states at the Fermi level comes out at 0.543 states/eV/atom.

Lattice parameters (Å, degrees): 5.2860 5.2860 4.7176 90.00 90.00 120.00
Space group P6/mmm (No. 191)
One atom of each set of equivalent atoms:
Pb1 0.0000 0.0000 0.0000 x1
W1 0.0000 0.5000 0.5000 x3
W2 0.3333 0.6667 0.0000 x2

=====

Model two:
# PbW5

A geometry-optimized PbW5 structure (GGA-PBE, the Alexandria database).

The density of states at the Fermi level comes out at 0.542 states/eV/atom.

Lattice parameters (Å, degrees): 3.275 13.890 4.547 90.00 90.00 90.00
Space group Cmmm (No. 65)
One atom of each set of equivalent atoms:
Pb1 0.000 0.000 0.000 x2
W1 0.000 0.166 0.500 x4
W2 0.000 0.323 0.000 x4
W3 0.000 0.500 0.500 x2

=====

Model three:
# PbW5

A geometry-optimized PbW5 structure (GGA-PBE, the Alexandria database).

The density of states at the Fermi level comes out at 0.762 states/eV/atom.

Lattice parameters (Å, degrees): 7.551 7.551 7.551 90.00 90.00 90.00
Space group F-43m (No. 216)
One atom of each set of equivalent atoms:
Pb1 0.000 0.000 0.000 x4
W1 0.125 0.125 0.375 x16
W2 0.250 0.250 0.750 x4

=====

Short version: model one is the least stable of them.

=====

Model one:
# Y2PbW

A geometry-optimized Y2PbW structure (GGA-PBE, the Alexandria database).

The density of states at the Fermi level comes out at 1.433 states/eV/atom.

Lattice parameters (Å, degrees): 4.904 4.904 4.058 90.00 90.00 90.00
Space group P4/mmm (No. 123)
One atom of each set of equivalent atoms:
Y1 0.000 0.500 0.000 x2
Pb1 0.000 0.000 0.500 x1
W1 0.500 0.500 0.500 x1

=====

Model two:
# Y2PbW

A geometry-optimized Y2PbW structure (GGA-PBE, the Alexandria database).

The density of states at the Fermi level comes out at 1.565 states/eV/atom.

Lattice parameters (Å, degrees): 3.833 5.228 10.178 90.00 90.00 90.00
Space group Cmm2 (No. 35)
One atom of each set of equivalent atoms:
Y1 0.000 0.000 0.000 x2
Y2 0.000 0.500 0.304 x2
Pb1 0.000 0.000 0.566 x2
W1 0.000 0.500 0.777 x2

=====

Model three:
# Y2PbW

A geometry-optimized Y2PbW structure (GGA-PBE, the Alexandria database).

The density of states at the Fermi level comes out at 1.092 states/eV/atom.

Lattice parameters (Å, degrees): 9.616 3.230 6.672 90.00 97.23 90.00
Space group C2/m (No. 12)
One atom of each set of equivalent atoms:
Y1 0.247 0.000 0.229 x4
Pb1 0.000 0.000 0.500 x2
W1 0.000 0.500 0.000 x2

=====

Short version: model two is the least stable of them.